A geometry-optimized Er2GePb structure. Source: Alexandria, functional PBE.

The structure in POSCAR format:
```
Er2GePb
1.0
-1.622 -3.000 0.053
2.958 -1.588 0.603
-1.266 0.834 8.410
Er Ge Pb
2 1 1
Direct
0.000 0.000 0.219
0.000 0.000 0.781
0.500 0.500 0.000
0.500 0.500 0.500
```

Formation energy (eV per formula unit): -2.1
N(E_F) (states/eV/f.u.): 3.3
Symmetry: P4/mmm (123)
Total DFT energy (no corrections) (eV per cell): -19.53

A geometry-optimized Ho2TlPb structure. Source: Alexandria, functional PBE.

The structure in POSCAR format:
```
Ho2TlPb
1.0
-0.620 -1.823 -3.902
6.148 -0.247 -0.861
-3.221 -7.562 4.045
Ho Pb Tl
4 2 2
Direct
0.750 0.236 0.931
0.750 0.236 0.429
0.250 0.764 0.571
0.250 0.764 0.069
0.250 0.312 0.198
0.750 0.688 0.802
0.750 0.699 0.305
0.250 0.301 0.695
```

Formation energy (eV per formula unit): -1.6
N(E_F) (states/eV/f.u.): 2.9
Symmetry: P2_1/m (11)
Total DFT energy (no corrections) (eV per cell): -33.58

A geometry-optimized AuCl3 structure. Source: Alexandria, functional PBE.

The structure in POSCAR format:
```
AuCl3
1.0
3.710 0.000 0.000
0.000 3.718 0.000
0.000 0.000 7.569
Au Cl
1 3
Direct
0.000 0.000 0.918
0.500 0.500 0.918
0.000 0.500 0.415
0.500 0.000 0.415
```

Formation energy without anion corrections (eV per atom): 0.2504
N(E_F) (states/eV/f.u.): 1.2
Symmetry: P4mm (99)
Total DFT energy (no corrections) (eV per cell): -7.82